# Cs4ErNp3Se8 (PBE, relaxed)
data_Cs4ErNp3Se8
_chemical_formula_sum 'Cs12 Er3 Np9 Se24'
_space_group_name_H-M_alt 'R -3 m'
_space_group_IT_number 166
_space_group_name_Hall '-R 3 2"'
_cell_length_a 8.6221
_cell_length_b 8.6221
_cell_length_c 25.0822
_cell_angle_alpha 90.00
_cell_angle_beta 90.00
_cell_angle_gamma 120.00
loop_
_atom_site_label
_atom_site_type_symbol
_atom_site_fract_x
_atom_site_fract_y
_atom_site_fract_z
_atom_site_occupancy
Cs1 Cs 0.0000 0.0000 0.0000 1
Cs2 Cs 0.0000 0.5000 0.0000 1
Er1 Er 0.0000 0.0000 0.5000 1
Np1 Np 0.0000 0.5000 0.5000 1
Se1 Se 0.0000 0.0000 0.2280 1
Se2 Se 0.0051 0.5025 0.2283 1
# DFT total energy: -6.011 eV/atom
# N(E_F): 24.13 states/eV/f.u.
# Calculated density: 6.3 Mg/m³